# 1
VASP calculation (PBE-GGA) on an optimized crystal structure of TmGa4Ag4.

Calculated values
Symmetry = P4_2/nmc, No. 137
Calculated total energy = -3.206 eV/atom
D(E_F) = 6.1 states/eV/cell

Cell: 6.1893 6.1893 9.1623 Å, 90.00 90.00 90.00°
Closest atoms and distances in Å follow each position.
Positions (direct):
1 Tm 0.0000 0.0000 0.0000  4 Ga 3.11, 8 Ag 3.45
2 Tm 0.5000 0.5000 0.5000  4 Ga 3.11, 8 Ag 3.45
3 Ga 0.5000 0.7725 0.7852  5 Ag 2.68-2.73, 1 Ga 2.82
4 Ga 0.5000 0.2275 0.7852  5 Ag 2.68-2.73, 1 Ga 2.82
5 Ga 0.7725 0.5000 0.2148  5 Ag 2.68-2.73, 1 Ga 2.82
6 Ga 0.2275 0.5000 0.2148  5 Ag 2.68-2.73, 1 Ga 2.82
7 Ga 0.2725 0.0000 0.2852  5 Ag 2.68-2.73, 1 Ga 2.82
8 Ga 0.7275 0.0000 0.2852  5 Ag 2.68-2.73, 1 Ga 2.82
9 Ga 0.0000 0.2725 0.7148  5 Ag 2.68-2.73, 1 Ga 2.82
10 Ga 0.0000 0.7275 0.7148  5 Ag 2.68-2.73, 1 Ga 2.82
11 Ag 0.2202 0.5000 0.9229  5 Ga 2.68-2.73, 3 Ag 2.73-2.83
12 Ag 0.7798 0.5000 0.9229  5 Ga 2.68-2.73, 3 Ag 2.73-2.83
13 Ag 0.5000 0.7798 0.0771  5 Ga 2.68-2.73, 3 Ag 2.73-2.83
14 Ag 0.5000 0.2202 0.0771  5 Ga 2.68-2.73, 3 Ag 2.73-2.83
15 Ag 0.0000 0.7202 0.4229  5 Ga 2.68-2.73, 3 Ag 2.73-2.83
16 Ag 0.0000 0.2798 0.4229  5 Ga 2.68-2.73, 3 Ag 2.73-2.83
17 Ag 0.2798 0.0000 0.5771  5 Ga 2.68-2.73, 3 Ag 2.73-2.83
18 Ag 0.7202 0.0000 0.5771  5 Ga 2.68-2.73, 3 Ag 2.73-2.83

***

# 2
VASP calculation (PBE-GGA) on an optimized crystal structure of Tm6GaAg5.

Calculated values
Symmetry = Cmmm, No. 65
Calculated total energy = -4.059 eV/atom
D(E_F) = 7.0 states/eV/cell

Cell: 5.0452 7.2041 7.9768 Å, 90.00 71.56 90.00°
Closest atoms and distances in Å follow each position.
Positions (direct):
1 Tm 0.8346 0.7502 0.3308  1 Ga 3.08, 7 Ag 3.08-3.12
2 Tm 0.8346 0.2498 0.3308  1 Ga 3.08, 7 Ag 3.08-3.12
3 Tm 0.5000 0.2492 0.0000  6 Ag 3.09-3.12, 2 Ga 3.10
4 Tm 0.5000 0.7508 0.0000  6 Ag 3.09-3.12, 2 Ga 3.10
5 Tm 0.1654 0.7502 0.6692  1 Ga 3.08, 7 Ag 3.08-3.12
6 Tm 0.1654 0.2498 0.6692  1 Ga 3.08, 7 Ag 3.08-3.12
7 Ag 0.6678 0.5000 0.6644  8 Tm 3.10-3.12
8 Ag 0.3342 0.0000 0.3317  8 Tm 3.09-3.12
9 Ag 0.0000 0.5000 0.0000  8 Tm 3.08-3.10
10 Ag 0.6658 0.0000 0.6683  8 Tm 3.09-3.12
11 Ag 0.3322 0.5000 0.3356  8 Tm 3.10-3.12
12 Ga 0.0000 0.0000 0.0000  8 Tm 3.08-3.10

***

# 3
VASP calculation (PBE-GGA) on an optimized crystal structure of Tm5Ga2Ag.

Calculated values
Symmetry = I4/mcm, No. 140
Calculated total energy = -4.312 eV/atom
D(E_F) = 10.5 states/eV/cell
ΔE to the lowest computed polymorph = 0 kJ/mol of formula units

Cell: 7.4340 7.4340 8.9460 Å, 114.55 114.55 90.00°
Closest atoms and distances in Å follow each position.
Positions (direct):
1 Tm 0.5217 0.6856 0.7073  3 Ga 3.05, 2 Ag 3.15
2 Tm 0.8144 0.9783 0.2927  3 Ga 3.05, 2 Ag 3.15
3 Tm 0.0000 0.0000 0.0000  4 Ga 2.95
4 Tm 0.5000 0.5000 0.0000  4 Ga 2.95
5 Tm 0.1856 0.0217 0.7073  3 Ga 3.05, 2 Ag 3.15
6 Tm 0.6856 0.1856 0.7073  3 Ga 3.05, 2 Ag 3.15
7 Tm 0.0217 0.5217 0.7073  3 Ga 3.05, 2 Ag 3.15
8 Tm 0.3144 0.8144 0.2927  3 Ga 3.05, 2 Ag 3.15
9 Tm 0.9783 0.4783 0.2927  3 Ga 3.05, 2 Ag 3.15
10 Tm 0.4783 0.3144 0.2927  3 Ga 3.05, 2 Ag 3.15
11 Ga 0.1235 0.3765 0.0000  1 Ga 2.60
12 Ga 0.6235 0.1235 0.0000  1 Ga 2.60
13 Ga 0.3765 0.8765 0.0000  1 Ga 2.60
14 Ga 0.8765 0.6235 0.0000  1 Ga 2.60
15 Ag 0.7500 0.7500 0.5000  8 Tm 3.15
16 Ag 0.2500 0.2500 0.5000  8 Tm 3.15

***

# 4
VASP calculation (PBE-GGA) on an optimized crystal structure of TmGa2Ag4.

Calculated values
Symmetry = Cmmm, No. 65
Calculated total energy = -3.335 eV/atom
D(E_F) = 3.4 states/eV/cell
ΔE to the lowest computed polymorph = 0 kJ/mol of formula units

Cell: 4.3085 4.0891 7.8926 Å, 105.01 90.00 90.00°
Closest atoms and distances in Å follow each position.
Positions (direct):
1 Tm 0.0000 0.0000 0.0000  8 Ga 3.21, 8 Ag 3.41-3.53
2 Ga 0.5000 0.5790 0.1581  1 Ga 2.41, 4 Ag 2.59-2.64
3 Ga 0.5000 0.4210 0.8419  1 Ga 2.41, 4 Ag 2.59-2.64
4 Ag 0.5000 0.8165 0.6330  2 Ga 2.59, 2 Ag 2.88
5 Ag 0.0000 0.6792 0.3583  2 Ga 2.64
6 Ag 0.5000 0.1835 0.3670  2 Ga 2.59, 2 Ag 2.88
7 Ag 0.0000 0.3208 0.6417  2 Ga 2.64

***

# 5
VASP calculation (PBE-GGA) on an optimized crystal structure of TmGa3Ag3.

Calculated values
Symmetry = Pm-3n, No. 223
Calculated total energy = -2.815 eV/atom
D(E_F) = 7.5 states/eV/cell
ΔE to the lowest computed polymorph = 299 kJ/mol of formula units

Cell: 7.0328 7.0328 7.0328 Å, 90.00 90.00 90.00°
Closest atoms and distances in Å follow each position.
Positions (direct):
1 Tm 0.5000 0.5000 0.5000  12 Ga 3.93, 12 Ag 3.93
2 Tm 0.0000 0.0000 0.0000  12 Ga 3.93, 12 Ag 3.93
3 Ga 0.0000 0.2500 0.5000  4 Ag 2.49
4 Ga 0.0000 0.7500 0.5000  4 Ag 2.49
5 Ga 0.5000 0.0000 0.7500  4 Ag 2.49
6 Ga 0.7500 0.5000 0.0000  4 Ag 2.49
7 Ga 0.5000 0.0000 0.2500  4 Ag 2.49
8 Ga 0.2500 0.5000 0.0000  4 Ag 2.49
9 Ag 0.2500 0.0000 0.5000  4 Ga 2.49
10 Ag 0.0000 0.5000 0.2500  4 Ga 2.49
11 Ag 0.5000 0.7500 0.0000  4 Ga 2.49
12 Ag 0.7500 0.0000 0.5000  4 Ga 2.49
13 Ag 0.0000 0.5000 0.7500  4 Ga 2.49
14 Ag 0.5000 0.2500 0.0000  4 Ga 2.49

***

# 6
VASP calculation (PBE-GGA) on an optimized crystal structure of Tm3Ga4Ag4.

Calculated values
Symmetry = Immm, No. 71
Calculated total energy = -3.778 eV/atom
D(E_F) = 3.5 states/eV/cell

Cell: 4.5743 3.4462 14.2530 Å, 96.94 99.23 90.00°
Closest atoms and distances in Å follow each position.
Positions (direct):
1 Tm 0.3586 0.8586 0.7172  6 Ga 3.12-3.17, 6 Ag 3.17-3.18, 2 Tm 3.45
2 Tm 0.6414 0.1414 0.2828  6 Ga 3.12-3.17, 6 Ag 3.17-3.18, 2 Tm 3.45
3 Tm 0.0000 0.0000 0.0000  4 Ag 3.09, 8 Ga 3.14, 2 Tm 3.45
4 Ga 0.8146 0.3146 0.6292  5 Ag 2.61-2.77
5 Ga 0.4538 0.4538 0.9076  1 Ga 2.58, 2 Ag 2.62
6 Ga 0.5462 0.5462 0.0924  1 Ga 2.58, 2 Ag 2.62
7 Ga 0.1854 0.6854 0.3708  5 Ag 2.61-2.77
8 Ag 0.2632 0.2632 0.5265  4 Ga 2.70-2.77, 4 Ag 2.96
9 Ag 0.0921 0.5921 0.1841  3 Ga 2.61-2.62
10 Ag 0.9079 0.4079 0.8159  3 Ga 2.61-2.62
11 Ag 0.7368 0.7368 0.4735  4 Ga 2.70-2.77, 4 Ag 2.96

***

# 7
VASP calculation (PBE-GGA) on an optimized crystal structure of Tm6Ga2Ag.

Calculated values
Symmetry = Immm, No. 71
Calculated total energy = -4.325 eV/atom
D(E_F) = 11.8 states/eV/cell
ΔE to the lowest computed polymorph = 0 kJ/mol of formula units

Cell: 8.4431 8.4431 8.4431 Å, 105.36 112.00 111.13°
Closest atoms and distances in Å follow each position.
Positions (direct):
1 Tm 0.5457 0.7263 0.8194  3 Ga 3.03-3.09, 1 Ag 3.12
2 Tm 0.4543 0.2737 0.1806  3 Ga 3.03-3.09, 1 Ag 3.12
3 Tm 0.0931 0.2737 0.8194  3 Ga 3.03-3.09, 1 Ag 3.12
4 Tm 0.9069 0.7263 0.1806  3 Ga 3.03-3.09, 1 Ag 3.12
5 Tm 0.8037 0.7514 0.5551  2 Ga 2.95-3.16, 2 Ag 3.15-3.17
6 Tm 0.1963 0.2486 0.4449  2 Ga 2.95-3.16, 2 Ag 3.15-3.17
7 Tm 0.1963 0.7514 0.9478  2 Ga 2.95-3.16, 2 Ag 3.15-3.17
8 Tm 0.8037 0.2486 0.0522  2 Ga 2.95-3.16, 2 Ag 3.15-3.17
9 Tm 0.7048 0.3809 0.6762  3 Ga 2.84-2.99
10 Tm 0.2952 0.6191 0.3238  3 Ga 2.84-2.99
11 Tm 0.2952 0.9714 0.6762  3 Ga 2.84-2.99
12 Tm 0.7048 0.0286 0.3238  3 Ga 2.84-2.99
13 Ga 0.5000 0.3773 0.8773  1 Ga 2.51
14 Ga 0.5000 0.6227 0.1227  1 Ga 2.51
15 Ga 0.6457 0.0000 0.6457  1 Ga 2.75, 6 Tm 2.95-2.99
16 Ga 0.3543 0.0000 0.3543  1 Ga 2.75, 6 Tm 2.95-2.99
17 Ag 0.0000 0.5000 0.5000  8 Tm 3.17-3.35
18 Ag 0.0000 0.0000 0.0000  8 Tm 3.12-3.15, 2 Ga 3.35

***

# 8
VASP calculation (PBE-GGA) on an optimized crystal structure of TmGa6Ag12.

Calculated values
Symmetry = R-3m, No. 166
Calculated total energy = -2.951 eV/atom
D(E_F) = 4.0 states/eV/cell

Cell: 7.5395 7.5395 7.5395 Å, 105.81 105.81 105.81°
Closest atoms and distances in Å follow each position.
Positions (direct):
1 Tm 0.0000 0.0000 0.0000  6 Ag 3.08
2 Ga 0.7017 0.2831 0.2831  7 Ag 2.64-2.79
3 Ga 0.2831 0.2831 0.7017  7 Ag 2.64-2.79
4 Ga 0.2831 0.7017 0.2831  7 Ag 2.64-2.79
5 Ga 0.7169 0.7169 0.2983  7 Ag 2.64-2.79
6 Ga 0.2983 0.7169 0.7169  7 Ag 2.64-2.79
7 Ga 0.7169 0.2983 0.7169  7 Ag 2.64-2.79
8 Ag 0.8832 0.1168 0.5000  4 Ga 2.64-2.72, 3 Ag 2.81-2.86
9 Ag 0.8679 0.6258 0.6258  4 Ga 2.77-2.96, 4 Ag 2.86-2.91, 1 Tm 3.08
10 Ag 0.6258 0.6258 0.8679  4 Ga 2.77-2.96, 4 Ag 2.86-2.91, 1 Tm 3.08
11 Ag 0.3742 0.1321 0.3742  4 Ga 2.77-2.96, 4 Ag 2.86-2.91, 1 Tm 3.08
12 Ag 0.3742 0.3742 0.1321  4 Ga 2.77-2.96, 4 Ag 2.86-2.91, 1 Tm 3.08
13 Ag 0.1321 0.3742 0.3742  4 Ga 2.77-2.96, 4 Ag 2.86-2.91, 1 Tm 3.08
14 Ag 0.1168 0.5000 0.8832  4 Ga 2.64-2.72, 3 Ag 2.81-2.86
15 Ag 0.5000 0.8832 0.1168  4 Ga 2.64-2.72, 3 Ag 2.81-2.86
16 Ag 0.1168 0.8832 0.5000  4 Ga 2.64-2.72, 3 Ag 2.81-2.86
17 Ag 0.8832 0.5000 0.1168  4 Ga 2.64-2.72, 3 Ag 2.81-2.86
18 Ag 0.5000 0.1168 0.8832  4 Ga 2.64-2.72, 3 Ag 2.81-2.86
19 Ag 0.6258 0.8679 0.6258  4 Ga 2.77-2.96, 4 Ag 2.86-2.91, 1 Tm 3.08

***

# 9
VASP calculation (PBE-GGA) on an optimized crystal structure of Tm2GaAg3.

Calculated values
Symmetry = Imm2, No. 44
Calculated total energy = -3.662 eV/atom
D(E_F) = 3.3 states/eV/cell
ΔE to the lowest computed polymorph = 60 kJ/mol of formula units

Cell: 3.6399 4.2052 9.2286 Å, 103.17 101.37 90.00°
Closest atoms and distances in Å follow each position.
Positions (direct):
1 Tm 0.1173 0.1173 0.2345  8 Ag 3.10, 2 Ga 3.33
2 Tm 0.8813 0.3813 0.7626  6 Ag 3.06-3.33, 4 Ga 3.10
3 Ga 0.4585 0.9585 0.9170  3 Ag 2.54-2.64
4 Ag 0.6949 0.6949 0.3897  3 Ag 2.71-2.74
5 Ag 0.5394 0.5394 0.0788  2 Ga 2.54, 1 Ag 2.74
6 Ag 0.3087 0.8087 0.6173  1 Ga 2.64, 2 Ag 2.71

***

# 10
VASP calculation (PBE-GGA) on an optimized crystal structure of TmGa2Ag.

Calculated values
Symmetry = Pnma, No. 62
Calculated total energy = -3.719 eV/atom
D(E_F) = 6.3 states/eV/cell

Cell: 5.9571 6.4969 8.2049 Å, 90.00 90.00 90.00°
Closest atoms and distances in Å follow each position.
Positions (direct):
1 Tm 0.3256 0.2500 0.0163  8 Ga 2.96-3.16, 2 Ag 3.03-3.05
2 Tm 0.8256 0.7500 0.4837  8 Ga 2.96-3.16, 2 Ag 3.03-3.05
3 Tm 0.6744 0.7500 0.9837  8 Ga 2.96-3.16, 2 Ag 3.03-3.05
4 Tm 0.1744 0.2500 0.5163  8 Ga 2.96-3.16, 2 Ag 3.03-3.05
5 Ga 0.9357 0.0418 0.2193  1 Ga 2.70, 3 Ag 2.71-2.76, 1 Tm 2.96
6 Ga 0.4357 0.9582 0.2807  1 Ga 2.70, 3 Ag 2.71-2.76, 1 Tm 2.96
7 Ga 0.0643 0.5418 0.7807  1 Ga 2.70, 3 Ag 2.71-2.76, 1 Tm 2.96
8 Ga 0.5643 0.4582 0.7193  1 Ga 2.70, 3 Ag 2.71-2.76, 1 Tm 2.96
9 Ga 0.0643 0.9582 0.7807  1 Ga 2.70, 3 Ag 2.71-2.76, 1 Tm 2.96
10 Ga 0.5643 0.0418 0.7193  1 Ga 2.70, 3 Ag 2.71-2.76, 1 Tm 2.96
11 Ga 0.9357 0.4582 0.2193  1 Ga 2.70, 3 Ag 2.71-2.76, 1 Tm 2.96
12 Ga 0.4357 0.5418 0.2807  1 Ga 2.70, 3 Ag 2.71-2.76, 1 Tm 2.96
13 Ag 0.6759 0.2500 0.4443  6 Ga 2.71-2.76, 1 Tm 3.03
14 Ag 0.1759 0.7500 0.0557  6 Ga 2.71-2.76, 1 Tm 3.03
15 Ag 0.3241 0.7500 0.5557  6 Ga 2.71-2.76, 1 Tm 3.03
16 Ag 0.8241 0.2500 0.9443  6 Ga 2.71-2.76, 1 Tm 3.03

***

| no. | magnetic moment (μB/cell) | formation energy from the elements (meV/atom) |
| --- | --- | --- |
| 1 | 0.000 | -96 |
| 2 | 0.000 | -383 |
| 3 | 0.000 | -404 |
| 4 | 0.000 | -202 |
| 5 | 0.000 | 343 |
| 6 | 0.000 | -421 |
| 7 | 0.000 | -354 |
| 8 | 0.000 | 41 |
| 9 | 0.000 | -242 |
| 10 | 0.000 | -375 |